1.
# Y2ZnSb | the Alexandria database | GGA-PBE | relaxed
data_Y2ZnSb
_chemical_formula_sum 'Y2 Zn1 Sb1'
_cell_length_a 5.214
_cell_length_b 5.214
_cell_length_c 5.214
_cell_angle_alpha 60.00
_cell_angle_beta 60.00
_cell_angle_gamma 60.00
_symmetry_space_group_name_H-M 'P 1'
_symmetry_Int_Tables_number 1
loop_
_symmetry_equiv_pos_as_xyz
'x,y,z'
loop_
_atom_site_label
_atom_site_fract_x
_atom_site_fract_y
_atom_site_fract_z
Y1 0.250 0.250 0.250
Y2 0.750 0.750 0.750
Sb1 0.500 0.500 0.500
Zn1 0.000 0.000 0.000
# - Symmetry: Fm-3m
# - Excess energy over the best structure of this formula in the dataset: 196.3 meV/atom
# - DOS at the Fermi energy: 1.5758 states/eV per atom
# - Total magnetization: 0.00 μB per formula unit
# - Formation energy (no corrections): -0.5440 eV/atom


2.
# Y2ZnSb | the Alexandria database | GGA-PBE | relaxed
data_Y2ZnSb
_chemical_formula_sum 'Y2 Zn1 Sb1'
_cell_length_a 8.107
_cell_length_b 4.992
_cell_length_c 4.014
_cell_angle_alpha 90.01
_cell_angle_beta 60.30
_cell_angle_gamma 127.79
_symmetry_space_group_name_H-M 'P 1'
_symmetry_Int_Tables_number 1
loop_
_symmetry_equiv_pos_as_xyz
'x,y,z'
loop_
_atom_site_label
_atom_site_fract_x
_atom_site_fract_y
_atom_site_fract_z
Sb1 0.500 0.500 0.000
Y1 0.000 0.000 0.000
Y2 0.500 0.000 0.500
Zn1 0.000 0.500 0.500
# - Symmetry: Cmmm
# - Excess energy over the best structure of this formula in the dataset: 137.7 meV/atom
# - DOS at the Fermi energy: 0.7770 states/eV per atom
# - Total magnetization: 0.00 μB per formula unit
# - Formation energy (no corrections): -0.6027 eV/atom


Among the records above, which one has the highest formation energy (no corrections)?
number 1